! UC4O10 (PBE, optimized geometry); values from VASP
&SYSTEM
  ibrav = 0, nat = 30, ntyp = 3
/
ATOMIC_SPECIES
U 238.03 U.upf
C 12.01 C.upf
O 16.00 O.upf
CELL_PARAMETERS angstrom
4.540 -4.586 0.000
4.540 4.586 0.000
0.000 0.000 13.467
ATOMIC_POSITIONS crystal
U 0.250 0.750 0.750
U 0.750 0.250 0.250
C 0.011 0.383 0.579
C 0.117 0.489 0.079
C 0.383 0.011 0.079
C 0.489 0.117 0.579
C 0.511 0.883 0.421
C 0.617 0.989 0.921
C 0.883 0.511 0.921
C 0.989 0.617 0.421
O 0.016 0.783 0.456
O 0.018 0.540 0.861
O 0.040 0.518 0.639
O 0.052 0.948 0.750
O 0.217 0.984 0.044
O 0.283 0.516 0.044
O 0.448 0.552 0.750
O 0.460 0.982 0.639
O 0.482 0.960 0.861
O 0.484 0.717 0.456
O 0.516 0.283 0.544
O 0.518 0.040 0.139
O 0.540 0.018 0.361
O 0.552 0.448 0.250
O 0.717 0.484 0.956
O 0.783 0.016 0.956
O 0.948 0.052 0.250
O 0.960 0.482 0.361
O 0.982 0.460 0.139
O 0.984 0.217 0.544
! - DOS(E_F): 5.74 states/eV/f.u.
! - V: 18.69 A^3/atom
! - Total moment: 4.031 Bohr magnetons per cell
! - Calculated density: 2.64 g cm⁻³
! - Total DFT energy (no corrections): -237.454 eV per cell